Material: BAs3F
Method: DFT, GGA-PBE
State: relaxed

Results
polymorph energy (0 for the lowest one): 0 meV/atom
crystal system: cubic

a b c (Å): 4.374 4.374 4.374
angles (deg): 90.00 90.00 90.00
Atoms (fractional coordinates):
As: 0.000 0.000 0.500
As: 0.500 0.000 0.000
As: 0.000 0.500 0.000
B: 0.000 0.000 0.000
F: 0.500 0.500 0.500


Material: BAs2F2
Method: DFT, GGA-PBE
State: relaxed

Results
polymorph energy (0 for the lowest one): 477 meV/atom
crystal system: tetragonal

a b c (Å): 3.290 3.290 6.411
angles (deg): 75.13 75.13 90.00
Atoms (fractional coordinates):
F: 0.750 0.250 0.500
F: 0.250 0.750 0.500
B: 0.000 0.000 0.000
As: 0.389 0.389 0.223
As: 0.611 0.611 0.777


Material: B3AsF
Method: DFT, GGA-PBE
State: relaxed

Results
polymorph energy (0 for the lowest one): 165 meV/atom
crystal system: cubic

a b c (Å): 3.916 3.916 3.916
angles (deg): 90.00 90.00 90.00
Atoms (fractional coordinates):
B: 0.500 0.000 0.000
B: 0.000 0.500 0.000
B: 0.000 0.000 0.500
F: 0.000 0.000 0.000
As: 0.500 0.500 0.500


Material: BAs2F2
Method: DFT, GGA-PBE
State: relaxed

Results
polymorph energy (0 for the lowest one): 0 meV/atom
crystal system: tetragonal

a b c (Å): 5.896 5.896 4.215
angles (deg): 90.00 90.00 90.00
Atoms (fractional coordinates):
As: 0.842 0.658 0.000
As: 0.342 0.842 0.000
As: 0.658 0.158 0.000
As: 0.158 0.342 0.000
F: 0.833 0.667 0.500
F: 0.333 0.833 0.500
F: 0.167 0.333 0.500
F: 0.667 0.167 0.500
B: 0.000 0.000 0.000
B: 0.500 0.500 0.000


Material: BAsF3
Method: DFT, GGA-PBE
State: relaxed

Results
polymorph energy (0 for the lowest one): 126 meV/atom
crystal system: cubic

a b c (Å): 3.888 3.888 3.888
angles (deg): 90.00 90.00 90.00
Atoms (fractional coordinates):
F: 0.000 0.000 0.500
F: 0.000 0.500 0.000
F: 0.500 0.000 0.000
B: 0.000 0.000 0.000
As: 0.500 0.500 0.500


Material: LiB2AsF
Method: DFT, GGA-PBE
State: relaxed

Results
crystal system: tetragonal

a b c (Å): 4.096 3.533 4.096
angles (deg): 90.00 90.00 90.00
Atoms (fractional coordinates):
B: 0.500 0.000 0.000
B: 0.000 0.000 0.500
Li: 0.000 0.500 0.000
As: 0.500 0.500 0.500
F: 0.000 0.000 0.000


What did we get for formation energy (no corrections)? Answer: 0.49 0.08 1.87 -0.39 -0.21 0.61 eV per atom, in the order shown.
What did we get for magnetic moment? Answer: 0.000 0.000 0.000 0.065 0.298 0.000 μB/atom, in the order shown.